[1]
First-principles (PBE) data for a geometry-optimized AsP2Pd6 structure, as listed in the Alexandria database.

Formation enthalpy at 0 K   -29.4 kJ/mol of atoms
Symmetry   C2/m (12)
Energy   -5.486 eV/atom
D(E_F)   0.48 states/eV/atom

Structure (POSCAR):
```
AsP2Pd6
1.0
-1.9063 2.2355 -1.0398
-4.0231 -4.7558 1.8215
1.3807 4.0189 6.1091
Pd P As
6 2 1
direct
0.7169 0.4339 0.8178 Pd
0.0302 0.0603 0.8373 Pd
0.3515 0.7030 0.5899 Pd
0.9698 0.9397 0.1627 Pd
0.2831 0.5661 0.1822 Pd
0.6485 0.2970 0.4101 Pd
0.3680 0.7359 0.9134 P
0.6320 0.2641 0.0866 P
0.0000 0.0000 0.5000 As
```

---

[2]
First-principles (PBE) data for a geometry-optimized InRhPb2 structure, as listed in the Alexandria database.

Formation enthalpy at 0 K   5.7 kJ/mol of atoms
Symmetry   R-3m (166)
Energy   -4.318 eV/atom
D(E_F)   0.44 states/eV/atom

Structure (POSCAR):
```
InRhPb2
1.0
9.6502 -1.7328 0.0522
9.6502 1.7328 0.0522
9.3229 0.0000 3.0357
Pb In Rh
2 1 1
direct
0.2359 0.2359 0.2359 Pb
0.7641 0.7641 0.7641 Pb
0.0000 0.0000 0.0000 In
0.5000 0.5000 0.5000 Rh
```

---

[3]
First-principles (PBE) data for a geometry-optimized Hf3AgSn structure, as listed in the Alexandria database.

Formation enthalpy at 0 K   70.9 kJ/mol of atoms
Symmetry   Pm-3m (221)
ΔE to the lowest computed polymorph   0 meV/atom
Energy   -6.608 eV/atom
D(E_F)   0.63 states/eV/atom

Structure (POSCAR):
```
Hf3AgSn
1.0
5.0712 0.0000 0.0000
0.0000 5.0712 0.0000
0.0000 0.0000 5.0712
Hf Sn Ag
3 1 1
direct
0.0000 0.5000 0.0000 Hf
0.5000 0.0000 0.0000 Hf
0.0000 0.0000 0.5000 Hf
0.5000 0.5000 0.5000 Sn
0.0000 0.0000 0.0000 Ag
```

---

[4]
First-principles (PBE) data for a geometry-optimized SrCr3Co structure, as listed in the Alexandria database.

Formation enthalpy at 0 K   92.1 kJ/mol of atoms
Symmetry   Pm-3m (221)
ΔE to the lowest computed polymorph   0 meV/atom
Energy   -6.577 eV/atom
D(E_F)   2.27 states/eV/atom

Structure (POSCAR):
```
SrCr3Co
1.0
-0.0026 4.5624 1.0563
-2.3583 -0.9139 3.9414
4.0459 -0.5297 2.2980
Cr Co Sr
3 1 1
direct
0.0000 0.5000 0.0000 Cr
0.0000 0.0000 0.5000 Cr
0.5000 0.0000 0.0000 Cr
0.0000 0.0000 0.0000 Co
0.5000 0.5000 0.5000 Sr
```

---

[5]
First-principles (PBE) data for a geometry-optimized PmSm3Pt8 structure, as listed in the Alexandria database.

Formation enthalpy at 0 K   -99.1 kJ/mol of atoms
Symmetry   P3m1 (156)
Energy   -6.630 eV/atom
D(E_F)   0.40 states/eV/atom

Structure (POSCAR):
```
PmSm3Pt8
1.0
-0.5035 5.4551 0.4981
-1.2021 -3.2729 4.2547
8.5269 0.5299 2.8167
Pt Sm Pm
8 3 1
direct
0.5020 0.4980 0.7503 Pt
0.1648 0.3296 0.2497 Pt
0.3333 0.6667 0.9998 Pt
0.3333 0.6667 0.4999 Pt
0.6704 0.8352 0.2497 Pt
0.9960 0.4980 0.7503 Pt
0.1648 0.8352 0.2497 Pt
0.5020 0.0040 0.7503 Pt
0.0000 0.0000 0.9357 Sm
0.6667 0.3333 0.4344 Sm
0.6667 0.3333 0.0648 Sm
0.0000 0.0000 0.5654 Pm
```

---

[6]
First-principles (PBE) data for a geometry-optimized CsBaHf3 structure, as listed in the Alexandria database.

Formation enthalpy at 0 K   186.6 kJ/mol of atoms
Symmetry   Pm-3m (221)
ΔE to the lowest computed polymorph   0 meV/atom
Energy   -4.593 eV/atom
D(E_F)   3.06 states/eV/atom

Structure (POSCAR):
```
CsBaHf3
1.0
-3.8130 3.1946 2.3233
-0.3192 -3.4677 4.2444
3.9371 2.8127 2.5941
Cs Hf Ba
1 3 1
direct
0.0000 0.0000 0.0000 Cs
0.0000 0.5000 0.0000 Hf
0.0000 0.0000 0.5000 Hf
0.5000 0.0000 0.0000 Hf
0.5000 0.5000 0.5000 Ba
```

---

[7]
First-principles (PBE) data for a geometry-optimized LaBeIn2 structure, as listed in the Alexandria database.

Formation enthalpy at 0 K   3.4 kJ/mol of atoms
Symmetry   P4mm (99)
Energy   -3.498 eV/atom
D(E_F)   0.46 states/eV/atom

Structure (POSCAR):
```
LaBeIn2
1.0
3.5424 0.0000 0.0000
0.0000 3.5509 0.0000
0.0000 0.0000 7.5861
In Be La
2 1 1
direct
0.0000 0.0000 0.9577 In
0.5000 0.5000 0.2128 In
0.5000 0.5000 0.8012 Be
0.0000 0.0000 0.5282 La
```

---

[8]
First-principles (PBE) data for a geometry-optimized Ba4CoPt structure, as listed in the Alexandria database.

Formation enthalpy at 0 K   94.1 kJ/mol of atoms
Symmetry   F-43m (216)
Energy   -2.498 eV/atom
D(E_F)   1.67 states/eV/atom

Structure (POSCAR):
```
Ba4CoPt
1.0
-0.6166 3.6538 5.7437
-0.3596 6.8188 -0.3091
-5.8834 3.1797 1.4128
Ba Pt Co
4 1 1
direct
0.3746 0.3746 0.8763 Ba
0.8763 0.3746 0.3746 Ba
0.3746 0.8763 0.3746 Ba
0.3746 0.3746 0.3746 Ba
0.0000 0.0000 0.0000 Pt
0.7500 0.7500 0.7500 Co
```

---

Question: The highest D(E_F) belongs to which entry?
Answer: CsBaHf3

---

Question: Which of these has the highest formation enthalpy at 0 K?
Answer: CsBaHf3

---

Question: D(E_F) of number 7 (LaBeIn2)?
Answer: 0.46 states/eV/atom